Run one
DFT (PBE) results for an optimized crystal structure of Pa2TlAs.

POSCAR file:
```
Pa2TlAs
1.0
1.8006 1.0396 9.2053
-1.8006 1.0396 9.2053
0.0000 -2.0791 9.2053
Pa Tl As
2 1 1
direct
0.2370 0.2370 0.2370
0.7630 0.7630 0.7630
0.0000 0.0000 0.0000
0.5000 0.5000 0.5000
```

Calculated values
The density of states at the Fermi level is 5.4 states/eV/cell.

Run two
DFT (PBE) results for an optimized crystal structure of Pa2TlAs.

POSCAR file:
```
Pa2TlAs
1.0
3.4477 0.0000 0.0000
0.0000 3.4477 0.0000
0.0000 0.0000 8.1053
Pa Tl As
2 1 1
direct
0.0000 0.0000 0.2150
0.0000 0.0000 0.7850
0.5000 0.5000 0.5000
0.5000 0.5000 0.0000
```

Calculated values
The density of states at the Fermi level is 7.4 states/eV/cell.

Stability summary - winner: run two; margin: 0.029 eV/atom.

Run one
DFT (PBE) results for an optimized crystal structure of PaTlAs2.

POSCAR file:
```
PaTlAs2
1.0
2.1134 1.2202 7.5900
-2.1134 1.2202 7.5900
0.0000 -2.4403 7.5900
Pa Tl As
1 1 2
direct
0.0000 0.0000 0.0000
0.5000 0.5000 0.5000
0.2684 0.2684 0.2684
0.7316 0.7316 0.7316
```

Run two
DFT (PBE) results for an optimized crystal structure of PaTlAs2.

POSCAR file:
```
PaTlAs2
1.0
3.8181 0.0000 0.0000
0.0000 3.8181 0.0000
0.0000 0.0000 6.6787
Pa Tl As
1 1 2
direct
0.0000 0.0000 0.0000
0.0000 0.0000 0.5000
0.5000 0.5000 0.1947
0.5000 0.5000 0.8053
```

Calculated values
The density of states at the Fermi level is 3.5 states/eV/cell.

Stability summary - winner: run one; margin: 0.020 eV/atom.

Run one
DFT (PBE) results for an optimized crystal structure of TmPaAs2.

POSCAR file:
```
TmPaAs2
1.0
2.0381 1.1767 6.6386
-2.0381 1.1767 6.6386
0.0000 -2.3533 6.6386
Tm Pa As
1 1 2
direct
0.0000 0.0000 0.0000
0.5000 0.5000 0.5000
0.2510 0.2510 0.2510
0.7490 0.7490 0.7490
```

Calculated values
The density of states at the Fermi level is 4.1 states/eV/cell.

Run two
DFT (PBE) results for an optimized crystal structure of TmPaAs2.

POSCAR file:
```
TmPaAs2
1.0
2.0109 1.1610 6.9615
-2.0109 1.1610 6.9615
0.0000 -2.3220 6.9615
Tm Pa As
1 1 2
direct
0.0000 0.0000 0.0000
0.8237 0.8237 0.8237
0.2436 0.2436 0.2436
0.4111 0.4111 0.4111
```

Calculated values
The density of states at the Fermi level is 2.9 states/eV/cell.

Stability summary - winner: run one; margin: 0.143 eV/atom.